No. 1
Density functional theory data (PBE) for an optimized crystal structure of Pm2HgRh.

Lattice parameters (Å, degrees): 4.1245 4.1245 8.0122 75.08 75.08 60.00
Fractional positions:
Pm1 0.2665 0.2665 0.2006
Pm2 0.0675 0.0675 0.7976
Hg1 0.5006 0.5006 0.4982
Rh1 0.6655 0.6655 0.0036

* SG: R3m (160)
* DFT formation energy: -2.2 eV per formula unit
* energy above the lowest structure with this stoichiometry: 46.6 meV per atom

---

No. 2
Density functional theory data (PBE) for an optimized crystal structure of Pm3HgRh3.

Lattice parameters (Å, degrees): 4.4411 5.6593 13.7409 90.00 90.00 113.10
Fractional positions:
Rh1 0.8988 0.7976 0.5968
Rh2 0.7410 0.4820 0.7500
Rh3 0.1012 0.2024 0.0968
Rh4 0.8988 0.7976 0.9032
Rh5 0.2590 0.5180 0.2500
Rh6 0.1012 0.2024 0.4032
Pm1 0.8073 0.6146 0.1042
Pm2 0.1927 0.3854 0.6042
Pm3 0.4734 0.9469 0.7500
Pm4 0.8073 0.6146 0.3958
Pm5 0.1927 0.3854 0.8958
Pm6 0.5266 0.0531 0.2500
Hg1 0.5000 0.0000 0.0000
Hg2 0.5000 0.0000 0.5000

* SG: Cmcm (63)
* DFT formation energy: -4.6 eV per formula unit
* energy above the lowest structure with this stoichiometry: 0.0 meV per atom

---

No. 3
Density functional theory data (PBE) for an optimized crystal structure of Pm3Hg4Rh2.

Lattice parameters (Å, degrees): 5.4001 5.3229 8.9265 83.05 77.92 58.50
Fractional positions:
Pm1 0.4274 0.3197 0.6900
Pm2 0.0000 0.0000 0.0000
Pm3 0.5726 0.6803 0.3100
Hg1 0.1223 0.9986 0.6337
Hg2 0.8777 0.0014 0.3663
Hg3 0.3047 0.3210 0.0796
Hg4 0.6953 0.6790 0.9204
Rh1 0.7614 0.6331 0.6076
Rh2 0.2386 0.3669 0.3924

* SG: P-1 (2)
* DFT formation energy: -4.0 eV per formula unit

---

No. 4
Density functional theory data (PBE) for an optimized crystal structure of Pm3Hg2Rh3.

Lattice parameters (Å, degrees): 5.9475 8.4014 8.4014 120.00 90.00 90.00
Fractional positions:
Rh1 0.7500 0.6175 0.0000
Rh2 0.2500 0.6175 0.6175
Rh3 0.7500 0.0000 0.6175
Rh4 0.2500 0.3825 0.0000
Rh5 0.7500 0.3825 0.3825
Rh6 0.2500 0.0000 0.3825
Hg1 0.5000 0.3333 0.6667
Hg2 0.0000 0.3333 0.6667
Hg3 0.0000 0.6667 0.3333
Hg4 0.5000 0.6667 0.3333
Pm1 0.2500 0.2803 0.2803
Pm2 0.7500 0.0000 0.2803
Pm3 0.2500 0.7197 0.0000
Pm4 0.7500 0.7197 0.7197
Pm5 0.7500 0.2803 0.0000
Pm6 0.2500 0.0000 0.7197

* SG: P6_3/mcm (193)
* DFT formation energy: -3.9 eV per formula unit

---

No. 5
Density functional theory data (PBE) for an optimized crystal structure of Pm12HgRh6.

Lattice parameters (Å, degrees): 8.5404 8.5404 8.5404 102.94 102.94 102.94
Fractional positions:
Pm1 0.4162 0.5595 0.1728
Pm2 0.0777 0.6665 0.9272
Pm3 0.5595 0.1728 0.4162
Pm4 0.9223 0.3335 0.0728
Pm5 0.8272 0.5838 0.4405
Pm6 0.4405 0.8272 0.5838
Pm7 0.6665 0.9272 0.0777
Pm8 0.0728 0.9223 0.3335
Pm9 0.9272 0.0777 0.6665
Pm10 0.3335 0.0728 0.9223
Pm11 0.1728 0.4162 0.5595
Pm12 0.5838 0.4405 0.8272
Rh1 0.6142 0.3092 0.1440
Rh2 0.6908 0.8560 0.3858
Rh3 0.1440 0.6142 0.3092
Rh4 0.3092 0.1440 0.6142
Rh5 0.3858 0.6908 0.8560
Rh6 0.8560 0.3858 0.6908
Hg1 0.0000 0.0000 0.0000

* SG: R-3 (148)
* DFT formation energy: -8.5 eV per formula unit
* energy above the lowest structure with this stoichiometry: 74.0 meV per atom

---

No. 6
Density functional theory data (PBE) for an optimized crystal structure of Pm8HgRh5.

Lattice parameters (Å, degrees): 7.7286 7.7286 7.7286 108.90 110.62 108.90
Fractional positions:
Hg1 0.2500 0.5000 0.7500
Pm1 0.9964 0.1074 0.7528
Pm2 0.5144 0.6392 0.2675
Pm3 0.6283 0.3608 0.8752
Pm4 0.1248 0.7530 0.4856
Pm5 0.7325 0.2470 0.3717
Pm6 0.1110 0.7564 0.0036
Pm7 0.6454 0.8926 0.8890
Pm8 0.2472 0.2436 0.3546
Rh1 0.7407 0.6202 0.6295
Rh2 0.5000 0.0000 0.5000
Rh3 0.3705 0.1113 0.9908
Rh4 0.0092 0.3798 0.1205
Rh5 0.8795 0.8887 0.2593

* SG: I-4 (82)
* DFT formation energy: -8.3 eV per formula unit